An optimized crystal structure of MnHF3. Source: Alexandria, functional PBE with a Hubbard U.

DFT total energy: -4.82 eV/atom
magnetization: 5.00 μB per formula unit
excess energy over the best structure of this formula in the dataset: 0.584 eV per atom

Unit cell a=3.4829 b=3.4829 c=3.4829 alpha=90.00 beta=90.00 gamma=90.00
With the nearest neighbours (Å) after each atom.
Space group Pm-3m (No. 221)
Inequivalent atoms, fractional coordinates:
Mn  0.0000  0.0000  0.0000 [1 per cell]  12 F 2.46
H  0.5000  0.5000  0.5000 [1 per cell]  6 F 1.74
F  0.0000  0.5000  0.5000 [3 per cell]  2 H 1.74